[1]
LaCeYTl | PBE | optimized geometry

Computed properties:
Volume in Å³/cell: 479.61
E_form in kJ/mol of formula units: -2.4
Uncorrected energy in eV/atom: -4.93
D(E_F) in states/eV/cell: 33.915

Unit cell a=7.828 b=7.828 c=7.828 alpha=90.00 beta=90.00 gamma=90.00
Space group F-43m (No. 216)
Inequivalent atoms, fractional coordinates:
1 La 0.000 0.000 0.000
2 Ce 0.250 0.250 0.250
3 Y 0.000 0.000 0.500
4 Tl 0.250 0.250 0.750

***

[2]
LaCeTlZn | PBE | optimized geometry

Computed properties:
Volume in Å³/cell: 454.74
E_form in kJ/mol of formula units: -93.5
Uncorrected energy in eV/atom: -3.87
D(E_F) in states/eV/cell: 42.798

Unit cell a=7.690 b=7.690 c=7.690 alpha=90.00 beta=90.00 gamma=90.00
Space group F-43m (No. 216)
Inequivalent atoms, fractional coordinates:
1 La 0.000 0.000 0.000
2 Ce 0.000 0.000 0.500
3 Tl 0.250 0.250 0.250
4 Zn 0.250 0.250 0.750